# 1
VASP calculation (PBE-GGA) on an optimized crystal structure of K2GaP2.

Structure (POSCAR):
```
K2GaP2
1.0
7.0335 0.0000 0.0000
0.0000 7.0335 0.0000
0.0000 0.0000 5.2379
P K Ga
4 4 2
direct
0.3906 0.8906 0.0000 P
0.8906 0.6094 0.0000 P
0.6094 0.1094 0.0000 P
0.1094 0.3906 0.0000 P
0.1809 0.6809 0.5000 K
0.6809 0.8191 0.5000 K
0.8191 0.3191 0.5000 K
0.3191 0.1809 0.5000 K
0.0000 0.0000 0.0000 Ga
0.5000 0.5000 0.0000 Ga
```

## Properties
energy: -34.00 eV per cell
calculated formation energy: -192 meV/atom
volume: 25.91 Å³/atom
energy above the lowest structure with this stoichiometry: 276.6 meV/atom

***

# 2
VASP calculation (PBE-GGA) on an optimized crystal structure of Ag5SnTe6.

Structure (POSCAR):
```
Ag5SnTe6
1.0
7.3104 0.2953 0.0000
2.3379 7.0387 0.0000
1.1690 3.5194 6.2666
Ag Sn Te
5 1 6
direct
0.5000 0.1550 0.6900 Ag
0.0000 0.3264 0.3473 Ag
0.5000 0.5000 0.0000 Ag
0.0000 0.6736 0.6527 Ag
0.5000 0.8450 0.3100 Ag
0.0000 0.0000 0.0000 Sn
0.7311 0.0570 0.3391 Te
0.2689 0.6039 0.3391 Te
0.2272 0.2863 0.0000 Te
0.7728 0.7137 0.0000 Te
0.7311 0.3961 0.6609 Te
0.2689 0.9430 0.6609 Te
```

## Properties
energy: -37.72 eV per cell
volume: 26.51 Å³/atom

***

no.,total moment (μB per cell)
1,0.0
2,0.0